A relaxed CrPRu2 crystal, computed with PBE.

Properties
E_form   99 meV per atom
Mass density   9.1 g/cm3

Cell and atoms, written as extended XYZ:
```
4
Lattice="-0.6751 -2.7456 0.4510 4.2796 -1.0414 0.0665 0.0941 0.6469 4.0792" Properties=species:S:1:pos:R:3 pbc="T T T"
Ru 1.8023 -1.8935 0.2587
P 2.1868 -0.1972 2.0728
Cr -0.2905 -1.0493 2.2651
Ru 0.0000 0.0000 0.0000
```